1.
A relaxed CaLa4Ni3WO12 crystal. Source: Alexandria, functional PBE with a Hubbard U.

Properties
* offset from the most stable computed form: 0.00 eV per formula unit
* crystal system: monoclinic

abc: 5.500 9.307 5.735
angles: 90.00 90.04 90.00
Element x y z (fractional)
Ca  0.000  0.000  0.000
La  0.000  0.323  0.000
La  0.000  0.677  0.000
La  0.500  0.189  0.500
La  0.500  0.811  0.500
Ni  0.000  0.000  0.500
Ni  0.500  0.000  0.000
Ni  0.500  0.500  0.000
W  0.000  0.500  0.500
O  0.000  0.275  0.500
O  0.000  0.725  0.500
O  0.214  0.500  0.798
O  0.247  0.500  0.243
O  0.268  0.000  0.280
O  0.269  0.000  0.720
O  0.500  0.242  0.000
O  0.500  0.758  0.000
O  0.731  0.000  0.280
O  0.732  0.000  0.720
O  0.753  0.500  0.757
O  0.786  0.500  0.202

***

2.
A relaxed CaLa4Ni3WO12 crystal. Source: Alexandria, functional PBE with a Hubbard U.

Properties
* offset from the most stable computed form: 1.10 eV per formula unit
* crystal system: orthorhombic

abc: 5.613 5.786 8.894
angles: 90.00 90.00 90.00
Element x y z (fractional)
Ca  0.000  0.000  0.000
La  0.000  0.000  0.329
La  0.000  0.000  0.671
La  0.500  0.500  0.208
La  0.500  0.500  0.792
Ni  0.000  0.500  0.000
Ni  0.000  0.500  0.500
Ni  0.500  0.000  0.500
W  0.500  0.000  0.000
O  0.000  0.500  0.245
O  0.000  0.500  0.755
O  0.231  0.224  0.500
O  0.231  0.776  0.500
O  0.277  0.281  0.000
O  0.277  0.719  0.000
O  0.500  0.000  0.224
O  0.500  0.000  0.776
O  0.723  0.281  0.000
O  0.723  0.719  0.000
O  0.769  0.224  0.500
O  0.769  0.776  0.500

***

For each record above, in turn, the calculated total magnetization values are 6.0, 6.0 μB per cell.
For each record above, in turn, the calculated calculated total energy values are -6.735, -6.682 eV/atom.